{"formula": "PmNd3Ho4", "functional": "PBE-GGA", "state": "optimized geometry", "lattice_angstrom": [[-5.859, -3.851, 1.628], [3.659, -3.368, 5.203], [-2.860, 7.163, 6.649]], "species": ["Nd", "Ho", "Nd", "Ho", "Ho", "Ho", "Nd", "Nd", "Ho", "Nd", "Ho", "Pm", "Ho", "Pm", "Nd", "Ho"], "fractional_positions": [[0.749, 0.561, 0.750], [0.500, 0.311, 0.000], [0.251, 0.061, 0.750], [0.000, 0.311, 0.500], [0.500, 0.811, 0.500], [0.750, 0.061, 0.250], [0.749, 0.561, 0.250], [0.000, 0.811, 0.500], [0.250, 0.561, 0.750], [0.251, 0.061, 0.250], [0.250, 0.561, 0.250], [0.500, 0.311, 0.500], [0.000, 0.811, 0.000], [0.500, 0.811, 0.000], [0.000, 0.311, 0.000], [0.750, 0.061, 0.750]], "e_form_ev_per_atom": 0.020, "dos_ef_per_ev_atom": 1.490, "total_magnetization_mub_per_fu": 0.00}


{"formula": "Tb2CeHo2", "functional": "PBE-GGA", "state": "optimized geometry", "lattice_angstrom": [[-3.792, 2.358, 0.408], [-2.347, -3.517, -1.492], [2.212, -2.147, 8.321]], "species": ["Ce", "Ho", "Ho", "Tb", "Tb"], "fractional_positions": [[0.000, 0.000, 0.000], [0.750, 0.250, 0.500], [0.250, 0.750, 0.500], [0.406, 0.406, 0.813], [0.594, 0.594, 0.187]], "e_form_ev_per_atom": 0.409, "dos_ef_per_ev_atom": 2.369, "total_magnetization_mub_per_fu": 0.95}


{"formula": "U2S5", "functional": "PBE-GGA", "state": "optimized geometry", "lattice_angstrom": [[7.367, 0.000, 0.000], [0.000, 7.375, 0.000], [0.000, 0.000, 9.923]], "species": ["U", "S", "U", "S", "S", "S", "U", "S", "S", "S", "S", "S", "S", "S", "S", "S", "S", "U", "S", "U", "S", "U", "S", "U", "U", "S", "S", "S"], "fractional_positions": [[0.261, 0.009, 0.647], [0.607, 0.357, 0.897], [0.239, 0.509, 0.853], [0.893, 0.357, 0.397], [0.131, 0.882, 0.894], [0.000, 0.750, 0.251], [0.739, 0.491, 0.647], [0.369, 0.382, 0.606], [0.631, 0.118, 0.606], [0.107, 0.643, 0.603], [0.369, 0.882, 0.394], [0.607, 0.857, 0.103], [0.131, 0.382, 0.106], [0.000, 0.250, 0.749], [0.393, 0.643, 0.103], [0.869, 0.118, 0.106], [0.869, 0.618, 0.894], [0.761, 0.991, 0.853], [0.500, 0.250, 0.249], [0.761, 0.491, 0.147], [0.893, 0.857, 0.603], [0.239, 0.009, 0.147], [0.500, 0.750, 0.751], [0.739, 0.991, 0.353], [0.261, 0.509, 0.353], [0.393, 0.143, 0.897], [0.631, 0.618, 0.394], [0.107, 0.143, 0.397]], "dos_ef_per_ev_atom": 2.020, "formation_energy_uncorrected_ev_per_atom": -1.20, "total_magnetization_mub_per_fu": 4.00}


{"formula": "Np4Sb", "functional": "PBE-GGA", "state": "optimized geometry", "lattice_angstrom": [[5.744, 0.000, 0.000], [0.000, 5.744, 0.000], [0.000, 0.000, 5.744]], "species": ["Np", "Np", "Sb", "Np", "Np"], "fractional_positions": [[0.500, 0.000, 0.500], [0.000, 0.000, 0.000], [0.500, 0.500, 0.500], [0.000, 0.500, 0.500], [0.500, 0.500, 0.000]], "dos_ef_per_ev_atom": 6.873, "formation_energy_uncorrected_ev_per_atom": 1.56, "total_magnetization_mub_per_fu": 10.67}


{"formula": "AcSmY5Ho2", "functional": "PBE-GGA", "state": "optimized geometry", "lattice_angstrom": [[-3.610, 3.412, -2.539], [0.558, -9.596, -7.559], [-7.096, -4.061, 4.632]], "species": ["Y", "Sm", "Y", "Ho", "Ho", "Y", "Y", "Ac", "Y", "Ho", "Y", "Y", "Ac", "Sm", "Y", "Y", "Ho", "Y"], "fractional_positions": [[0.525, 0.050, 0.249], [0.238, 0.476, 0.036], [0.604, 0.207, 0.532], [0.831, 0.661, 0.175], [0.113, 0.226, 0.287], [0.008, 0.015, 0.524], [0.258, 0.516, 0.363], [0.602, 0.205, 0.929], [0.396, 0.793, 0.032], [0.887, 0.774, 0.787], [0.992, 0.985, 0.024], [0.742, 0.484, 0.863], [0.398, 0.795, 0.429], [0.762, 0.524, 0.536], [0.475, 0.950, 0.749], [0.690, 0.380, 0.228], [0.169, 0.339, 0.675], [0.310, 0.620, 0.728]], "e_form_ev_per_atom": 0.160, "dos_ef_per_ev_atom": 1.393, "total_magnetization_mub_per_fu": 0.00}


{"formula": "Er4NiAgRu2", "functional": "PBE-GGA", "state": "optimized geometry", "lattice_angstrom": [[4.833, 0.000, 0.000], [2.416, 4.185, 0.000], [2.416, 1.395, 7.909]], "species": ["Ag", "Er", "Er", "Ru", "Er", "Er", "Ru", "Ni"], "fractional_positions": [[0.000, 0.000, 0.000], [0.621, 0.621, 0.137], [0.128, 0.128, 0.616], [0.250, 0.250, 0.250], [0.872, 0.872, 0.384], [0.379, 0.379, 0.863], [0.750, 0.750, 0.750], [0.500, 0.500, 0.500]], "e_form_ev_per_atom": -0.421, "dos_ef_per_ev_atom": 0.482, "total_magnetization_mub_per_fu": 0.00}


{"formula": "KMgMnI5", "functional": "PBE-GGA", "state": "optimized geometry", "lattice_angstrom": [[8.331, 0.111, 0.008], [-2.326, 8.001, 0.008], [-2.487, -3.360, 9.882]], "species": ["Mn", "I", "I", "I", "I", "Mg", "I", "K", "K", "I", "I", "I", "Mn", "I", "Mg", "I"], "fractional_positions": [[0.686, 0.314, 0.250], [0.243, 0.376, 0.560], [0.320, 0.918, 0.612], [0.082, 0.680, 0.888], [0.922, 0.078, 0.750], [0.000, 0.000, 0.000], [0.376, 0.243, 0.060], [0.653, 0.347, 0.750], [0.347, 0.653, 0.250], [0.078, 0.922, 0.250], [0.918, 0.320, 0.112], [0.624, 0.757, 0.940], [0.314, 0.686, 0.750], [0.757, 0.624, 0.440], [0.000, 0.000, 0.500], [0.680, 0.082, 0.388]], "dos_ef_per_ev_atom": 0.000, "formation_energy_uncorrected_ev_per_atom": -0.89, "total_magnetization_mub_per_fu": 5.00}


{"formula": "La2Ga4PbAu3", "functional": "PBE-GGA", "state": "optimized geometry", "lattice_angstrom": [[-3.944, 2.200, 0.112], [-0.484, -0.641, -4.445], [-5.227, -9.470, 1.935]], "species": ["Ga", "La", "Pb", "Ga", "Au", "La", "Ga", "Ga", "Au", "Au"], "fractional_positions": [[0.500, 0.000, 0.651], [0.000, 0.500, 0.763], [0.500, 0.500, 0.500], [0.000, 0.000, 0.000], [0.500, 0.000, 0.878], [0.500, 0.000, 0.237], [0.000, 0.500, 0.349], [0.500, 0.500, 0.000], [0.000, 0.500, 0.122], [0.000, 0.000, 0.500]], "e_form_ev_per_atom": -0.602, "dos_ef_per_ev_atom": 0.379, "total_magnetization_mub_per_fu": 0.00}


{"formula": "Zr2MoPdN", "functional": "PBE-GGA", "state": "optimized geometry", "lattice_angstrom": [[-4.229, 1.453, -0.819], [-0.319, -2.894, -3.491], [-1.434, -2.793, 2.446]], "species": ["Pd", "Zr", "Mo", "Zr", "N"], "fractional_positions": [[0.500, 0.500, 0.500], [0.500, 0.000, 0.000], [0.000, 0.000, 0.500], [0.000, 0.500, 0.000], [0.000, 0.000, 0.000]], "dos_ef_per_ev_atom": 0.849, "formation_energy_uncorrected_ev_per_atom": -0.74, "total_magnetization_mub_per_fu": 0.00}


{"formula": "CeMnPd14", "functional": "PBE-GGA", "state": "optimized geometry", "lattice_angstrom": [[5.699, -0.012, 0.000], [0.012, 5.699, 0.000], [0.000, 0.000, 7.872]], "species": ["Pd", "Pd", "Pd", "Pd", "Pd", "Pd", "Pd", "Pd", "Pd", "Pd", "Pd", "Pd", "Pd", "Pd", "Mn", "Ce"], "fractional_positions": [[0.128, 0.128, 0.249], [0.375, 0.375, 0.000], [0.375, 0.875, 0.500], [0.622, 0.622, 0.249], [0.128, 0.128, 0.751], [0.875, 0.375, 0.000], [0.375, 0.875, 0.000], [0.622, 0.128, 0.751], [0.875, 0.375, 0.500], [0.622, 0.622, 0.751], [0.128, 0.622, 0.249], [0.875, 0.875, 0.000], [0.128, 0.622, 0.751], [0.622, 0.128, 0.249], [0.375, 0.375, 0.500], [0.875, 0.875, 0.500]], "e_form_ev_per_atom": -0.265, "dos_ef_per_ev_atom": 1.457, "total_magnetization_mub_per_fu": 5.20}


{"formula": "PrPa6S8", "functional": "PBE-GGA", "state": "optimized geometry", "lattice_angstrom": [[-6.078, -3.520, -1.990], [-3.447, -2.695, 5.844], [-5.914, 3.983, 1.567]], "species": ["S", "S", "Pa", "Pa", "S", "S", "Pa", "Pa", "Pa", "S", "S", "S", "Pa", "S", "Pr"], "fractional_positions": [[0.797, 0.380, 0.097], [0.203, 0.620, 0.903], [0.073, 0.450, 0.707], [0.450, 0.707, 0.073], [0.903, 0.203, 0.620], [0.380, 0.097, 0.797], [0.707, 0.073, 0.450], [0.550, 0.293, 0.927], [0.927, 0.550, 0.293], [0.620, 0.903, 0.203], [0.333, 0.333, 0.333], [0.667, 0.667, 0.667], [0.293, 0.927, 0.550], [0.097, 0.797, 0.380], [0.000, 0.000, 0.000]], "dos_ef_per_ev_atom": 1.577, "formation_energy_uncorrected_ev_per_atom": -1.42, "total_magnetization_mub_per_fu": 0.71}


{"formula": "NbIr2OsRu4", "functional": "PBE-GGA", "state": "optimized geometry", "lattice_angstrom": [[7.288, 0.057, 1.335], [0.052, 7.288, 1.335], [-2.686, -2.687, 3.842]], "species": ["Ru", "Ir", "Ru", "Os", "Ir", "Os", "Ru", "Nb", "Ru", "Ru", "Nb", "Ir", "Ru", "Ru", "Ir", "Ru"], "fractional_positions": [[0.736, 0.260, 0.999], [0.000, 0.000, 0.500], [0.762, 0.737, 0.492], [0.000, 0.500, 0.500], [0.500, 0.500, 0.000], [0.000, 0.500, 0.000], [0.763, 0.738, 0.008], [0.500, 0.500, 0.500], [0.240, 0.764, 0.501], [0.237, 0.262, 0.992], [0.000, 0.000, 0.000], [0.500, 0.000, 0.000], [0.238, 0.263, 0.508], [0.264, 0.740, 0.001], [0.500, 0.000, 0.500], [0.760, 0.236, 0.499]], "e_form_ev_per_atom": 0.654, "dos_ef_per_ev_atom": 1.193, "total_magnetization_mub_per_fu": 0.00}


{"formula": "NbTcP", "functional": "PBE-GGA", "state": "optimized geometry", "lattice_angstrom": [[-2.107, -2.082, -0.695], [3.639, -1.854, -5.479], [2.116, -2.943, 2.401]], "species": ["Tc", "P", "Nb", "Tc", "Nb", "P"], "fractional_positions": [[0.500, 0.538, 0.000], [0.500, 0.205, 0.500], [0.000, 0.162, 0.000], [0.000, 0.462, 0.500], [0.500, 0.838, 0.500], [0.000, 0.795, 0.000]], "e_form_ev_per_atom": -0.618, "dos_ef_per_ev_atom": 0.663, "total_magnetization_mub_per_fu": 0.00}


{"formula": "NbPb3O", "functional": "PBE-GGA", "state": "optimized geometry", "lattice_angstrom": [[-1.953, -3.622, -3.603], [-2.224, -2.870, 4.091], [-4.600, 2.926, -0.448]], "species": ["Nb", "Pb", "Pb", "O", "Pb"], "fractional_positions": [[0.000, 0.000, 0.000], [0.000, 0.500, 0.000], [0.000, 0.000, 0.500], [0.500, 0.500, 0.500], [0.500, 0.000, 0.000]], "dos_ef_per_ev_atom": 3.019, "formation_energy_uncorrected_ev_per_atom": 0.83, "total_magnetization_mub_per_fu": 0.00}


{"formula": "RbScAgCl6", "functional": "PBE-GGA", "state": "optimized geometry", "lattice_angstrom": [[6.642, -0.257, -0.125], [3.102, 5.883, 0.117], [-0.126, 0.217, 7.247]], "species": ["Ag", "Rb", "Cl", "Cl", "Cl", "Cl", "Cl", "Cl", "Sc"], "fractional_positions": [[0.334, 0.334, 0.500], [0.016, 0.016, 0.000], [0.964, 0.649, 0.727], [0.377, 0.982, 0.675], [0.387, 0.614, 0.294], [0.982, 0.377, 0.326], [0.615, 0.388, 0.706], [0.647, 0.964, 0.272], [0.677, 0.677, 0.500]], "dos_ef_per_ev_atom": 0.136, "formation_energy_uncorrected_ev_per_atom": -1.50, "total_magnetization_mub_per_fu": 1.05}


{"formula": "UTlRhSe4", "functional": "PBE-GGA", "state": "optimized geometry", "lattice_angstrom": [[-5.364, -4.003, -1.009], [1.645, -3.398, 4.735], [-3.085, 6.384, 5.654]], "species": ["Se", "Se", "Se", "Tl", "U", "Se", "Rh", "Se", "Se", "Rh", "Se", "Tl", "Se", "U"], "fractional_positions": [[0.464, 0.750, 0.628], [0.451, 0.750, 0.188], [0.976, 0.010, 0.289], [0.250, 0.250, 0.038], [0.747, 0.750, 0.455], [0.549, 0.250, 0.812], [0.245, 0.750, 0.380], [0.024, 0.990, 0.711], [0.024, 0.510, 0.711], [0.755, 0.250, 0.620], [0.976, 0.490, 0.289], [0.750, 0.750, 0.962], [0.536, 0.250, 0.372], [0.253, 0.250, 0.545]], "dos_ef_per_ev_atom": 0.815, "formation_energy_uncorrected_ev_per_atom": -0.62, "total_magnetization_mub_per_fu": 0.94}


{"formula": "Y2HoPuS6", "functional": "PBE-GGA", "state": "optimized geometry", "lattice_angstrom": [[6.929, 0.000, 0.000], [3.464, 6.001, 0.000], [3.464, 2.000, 6.216]], "species": ["Y", "S", "S", "Pu", "S", "S", "Ho", "Y", "S", "S"], "fractional_positions": [[0.016, 0.016, 0.952], [0.219, 0.917, 0.250], [0.120, 0.411, 0.753], [0.815, 0.815, 0.554], [0.716, 0.121, 0.753], [0.614, 0.219, 0.250], [0.316, 0.316, 0.051], [0.517, 0.517, 0.450], [0.917, 0.614, 0.250], [0.411, 0.716, 0.753]], "dos_ef_per_ev_atom": 1.174, "formation_energy_uncorrected_ev_per_atom": -1.92, "total_magnetization_mub_per_fu": 5.00}


{"formula": "As2PdSeF", "functional": "PBE-GGA", "state": "optimized geometry", "lattice_angstrom": [[4.845, 0.000, 0.000], [0.000, 4.845, 0.000], [0.000, 0.000, 4.995]], "species": ["F", "As", "As", "Se", "Pd"], "fractional_positions": [[0.500, 0.500, 0.500], [0.500, 0.000, 0.000], [0.000, 0.500, 0.000], [0.000, 0.000, 0.500], [0.000, 0.000, 0.000]], "dos_ef_per_ev_atom": 1.558, "formation_energy_uncorrected_ev_per_atom": 0.40, "total_magnetization_mub_per_fu": 1.01}


{"formula": "CaYO2F", "functional": "PBE-GGA", "state": "optimized geometry", "lattice_angstrom": [[4.345, 0.000, 0.000], [0.000, 4.345, 0.000], [0.000, 0.000, 4.043]], "species": ["Y", "O", "F", "O", "Ca"], "fractional_positions": [[0.500, 0.500, 0.500], [0.000, 0.500, 0.000], [0.000, 0.000, 0.500], [0.500, 0.000, 0.000], [0.000, 0.000, 0.000]], "formation_energy_uncorrected_ev_per_atom": -2.49, "total_magnetization_mub_per_fu": 0.00}


{"formula": "LaPAu", "functional": "PBE-GGA", "state": "optimized geometry", "lattice_angstrom": [[-4.295, -1.362, 1.496], [-3.269, -1.414, -3.139], [-1.252, -4.574, -0.225]], "species": ["Au", "La", "P"], "fractional_positions": [[0.000, 0.000, 0.000], [0.500, 0.500, 0.500], [0.250, 0.250, 0.250]], "e_form_ev_per_atom": -0.720, "dos_ef_per_ev_atom": 1.559, "total_magnetization_mub_per_fu": 0.06}